# 1
This record from Alexandria describes crystalline SrGaCuSi2 at its relaxed geometry. The functional is PBE.

```
SrGaCuSi2
1.0
-2.1603 2.1603 5.0439
2.1603 -2.1603 5.0439
2.1603 2.1603 -5.0439
Sr Ga Cu Si
1 1 1 2
Cartesian
0.0000 0.0000 0.0000
0.0000 2.1603 2.5220
2.1603 0.0000 2.5220
0.0000 0.0000 3.8378
0.0000 0.0000 6.2500
```

Properties
Uncorrected energy ... -21.21 eV for the cell shown
Total magnetization ... 0.00 Bohr magnetons per cell
Calculated density ... 4.89 g/cm³
Raw formation energy ... -0.312 eV per atom

# 2
This record from Alexandria describes crystalline Pm2SbO2 at its relaxed geometry. The functional is PBE.

```
Pm2SbO2
1.0
3.7709 0.0000 0.0000
0.0000 3.7709 0.0000
0.0000 0.0000 7.3231
Pm Sb O
2 1 2
Cartesian
0.0000 0.0000 1.4555
0.0000 0.0000 5.8675
1.8854 1.8854 3.6615
0.0000 1.8854 0.0000
1.8854 0.0000 0.0000
```

Properties
Uncorrected energy ... -34.02 eV for the cell shown
Total magnetization ... 0.00 Bohr magnetons per cell
Calculated density ... 7.08 g/cm³
Raw formation energy ... -2.096 eV per atom

# 3
This record from Alexandria describes crystalline TbEr9Th2 at its relaxed geometry. The functional is PBE.

```
TbEr9Th2
1.0
11.2564 0.0000 0.0000
-5.6282 9.7484 0.0000
0.0000 0.0000 3.4649
Tb Er Th
1 9 2
Cartesian
0.0000 0.0000 0.0000
-2.8141 4.8742 0.0000
0.0000 3.3959 1.7325
-2.6873 8.0504 1.7325
2.9409 1.6979 1.7325
5.6282 0.0000 0.0000
2.8141 4.8742 0.0000
2.6873 8.0504 1.7325
8.3155 1.6979 1.7325
5.6282 6.3525 1.7325
0.0000 6.4989 0.0000
5.6282 3.2494 0.0000
```

Properties
Uncorrected energy ... -59.24 eV for the cell shown
Total magnetization ... 0.00 Bohr magnetons per cell
Calculated density ... 9.30 g/cm³

# 4
This record from Alexandria describes crystalline B3PtW at its relaxed geometry. The functional is PBE.

```
B3PtW
1.0
4.1399 0.0000 0.0000
0.0000 4.1399 0.0000
0.0000 0.0000 4.1399
B Pt W
3 1 1
Cartesian
0.0000 0.0000 2.0699
0.0000 2.0699 0.0000
2.0699 0.0000 0.0000
2.0699 2.0699 2.0699
0.0000 0.0000 0.0000
```

Properties
Uncorrected energy ... -30.97 eV for the cell shown
Total magnetization ... 0.00 Bohr magnetons per cell
Calculated density ... 9.63 g/cm³

# 5
This record from Alexandria describes crystalline Pm3DyTm2S6 at its relaxed geometry. The functional is PBE.

```
Pm3DyTm2S6
1.0
3.3892 -5.8906 0.0000
3.3892 5.8906 0.0000
-2.2663 0.0000 6.5423
Pm Dy Tm S
3 1 2 6
Cartesian
0.0000 0.0000 0.0000
3.3892 1.9422 0.0000
3.3892 -1.9422 0.0000
2.2560 0.0000 3.2711
2.2560 3.9290 3.2711
2.2560 -3.9290 3.2711
1.1158 1.9861 1.7409
-0.0317 0.0000 4.7921
1.1158 -1.9861 1.7409
3.3963 1.9861 4.8013
4.5438 0.0000 1.7502
3.3963 -1.9861 4.8013
```

Properties
Uncorrected energy ... -76.58 eV for the cell shown
Total magnetization ... 0.00 Bohr magnetons per cell
Calculated density ... 7.17 g/cm³
Raw formation energy ... -2.002 eV per atom

# 6
This record from Alexandria describes crystalline Si2HgMo at its relaxed geometry. The functional is PBE.

```
Si2HgMo
1.0
-2.0395 2.0395 3.8661
2.0395 -2.0395 3.8661
2.0395 2.0395 -3.8661
Si Hg Mo
2 1 1
Cartesian
2.0395 0.0000 1.9330
0.0000 2.0395 1.9330
0.0000 0.0000 0.0000
0.0000 0.0000 3.8661
```

Properties
Uncorrected energy ... -20.07 eV for the cell shown
Total magnetization ... 0.00 Bohr magnetons per cell
Calculated density ... 9.11 g/cm³
Raw formation energy ... 0.478 eV per atom

calculated density of number 5 (Pm3DyTm2S6)?
7.17 g/cm³